# CdAu2 meta-GGA SCAN single point on PBEsol structure
data_CdAu2
_cell_length_a 2.932
_cell_length_b 7.929
_cell_length_c 7.929
_cell_angle_alpha 120.00
_cell_angle_beta 90.00
_cell_angle_gamma 90.00
_space_group_name_H-M_alt 'P 1'
_space_group_IT_number 1
loop_
_space_group_symop_operation_xyz
'x,y,z'
loop_
_atom_site_label
_atom_site_type_symbol
_atom_site_fract_x
_atom_site_fract_y
_atom_site_fract_z
_atom_site_occupancy
Au1 Au 0.000 0.000 0.306 1
Au2 Au 0.500 0.000 0.639 1
Au3 Au 0.000 0.694 0.694 1
Au4 Au 0.000 0.306 0.000 1
Au5 Au 0.500 0.361 0.361 1
Au6 Au 0.500 0.639 0.000 1
Cd1 Cd 0.500 0.000 0.000 1
Cd2 Cd 0.000 0.667 0.333 1
Cd3 Cd 0.000 0.333 0.667 1
# - Formation energy from the elements: -0.13 eV per atom


# CdAu2 meta-GGA SCAN single point on PBEsol structure
data_CdAu2
_cell_length_a 2.978
_cell_length_b 5.544
_cell_length_c 6.899
_cell_angle_alpha 104.33
_cell_angle_beta 90.00
_cell_angle_gamma 105.58
_space_group_name_H-M_alt 'P 1'
_space_group_IT_number 1
loop_
_space_group_symop_operation_xyz
'x,y,z'
loop_
_atom_site_label
_atom_site_type_symbol
_atom_site_fract_x
_atom_site_fract_y
_atom_site_fract_z
_atom_site_occupancy
Au1 Au 0.004 0.008 0.000 1
Au2 Au 0.390 0.780 0.276 1
Au3 Au 0.669 0.338 0.336 1
Au4 Au 0.330 0.660 0.670 1
Cd1 Cd 0.049 0.097 0.602 1
Cd2 Cd 0.725 0.451 0.950 1
# - Formation energy from the elements: -0.13 eV per atom